# 1
# AgINF2

A relaxed structure of AgINF2 (PBE, the Alexandria database).

Cell and atoms, written as CIF:
```
data_AgINF2
_cell_length_a 4.105
_cell_length_b 4.105
_cell_length_c 4.819
_cell_angle_alpha 90.00
_cell_angle_beta 90.00
_cell_angle_gamma 90.00
_symmetry_space_group_name_H-M 'P 1'
_symmetry_Int_Tables_number 1
_symmetry_space_group_name_Hall 'P 1'
loop_
_atom_site_label
_atom_site_type_symbol
_atom_site_fract_x
_atom_site_fract_y
_atom_site_fract_z
I1 I 0.500 0.500 0.500
N1 N 0.000 0.000 0.500
Ag1 Ag 0.000 0.000 0.000
F1 F 0.000 0.500 0.000
F2 F 0.500 0.000 0.000
```

Values from the calculation:
Calculated volume in Å³/f.u.: 81
Relative energy among the computed polymorphs in meV/atom: 126
DOS at the Fermi energy in states/eV/f.u.: 3.19
Space-group type: P4/mmm, No. 123
Energy relative to the elements, uncorrected in eV per atom: 0.36
Magnetic moment in μB per cell: 0.4


# 2
# KGa2CoPb

A relaxed structure of KGa2CoPb (PBE, the Alexandria database).

Cell and atoms, written as CIF:
```
data_KGa2CoPb
_cell_length_a 4.754
_cell_length_b 4.754
_cell_length_c 5.179
_cell_angle_alpha 90.00
_cell_angle_beta 90.00
_cell_angle_gamma 90.00
_symmetry_space_group_name_H-M 'P 1'
_symmetry_Int_Tables_number 1
_symmetry_space_group_name_Hall 'P 1'
loop_
_atom_site_label
_atom_site_type_symbol
_atom_site_fract_x
_atom_site_fract_y
_atom_site_fract_z
Pb1 Pb 0.000 0.000 0.500
K1 K 0.500 0.500 0.500
Co1 Co 0.000 0.000 0.000
Ga1 Ga 0.000 0.500 0.000
Ga2 Ga 0.500 0.000 0.000
```

Values from the calculation:
Calculated volume in Å³/f.u.: 117
Relative energy among the computed polymorphs in meV/atom: 0
DOS at the Fermi energy in states/eV/f.u.: 3.99
Space-group type: P4/mmm, No. 123
Energy relative to the elements in meV/atom: 6
Magnetic moment in μB per cell: 0.4


# 3
# Hf9TlSn2

A relaxed structure of Hf9TlSn2 (PBE, the Alexandria database).

Cell and atoms, written as CIF:
```
data_Hf9TlSn2
_cell_length_a 4.429
_cell_length_b 4.429
_cell_length_c 13.317
_cell_angle_alpha 90.00
_cell_angle_beta 90.00
_cell_angle_gamma 90.00
_symmetry_space_group_name_H-M 'P 1'
_symmetry_Int_Tables_number 1
_symmetry_space_group_name_Hall 'P 1'
loop_
_atom_site_label
_atom_site_type_symbol
_atom_site_fract_x
_atom_site_fract_y
_atom_site_fract_z
Hf1 Hf 0.500 0.500 0.000
Hf2 Hf 0.500 0.500 0.333
Hf3 Hf 0.500 0.500 0.667
Hf4 Hf 0.500 0.000 0.168
Hf5 Hf 0.500 0.000 0.500
Hf6 Hf 0.500 0.000 0.832
Hf7 Hf 0.000 0.500 0.168
Hf8 Hf 0.000 0.500 0.500
Hf9 Hf 0.000 0.500 0.832
Tl1 Tl 0.000 0.000 0.000
Sn1 Sn 0.000 0.000 0.335
Sn2 Sn 0.000 0.000 0.665
```

Values from the calculation:
Calculated volume in Å³/f.u.: 261
DOS at the Fermi energy in states/eV/f.u.: 12.35
Space-group type: P4/mmm, No. 123
Energy relative to the elements in meV/atom: -154
Magnetic moment in μB per cell: 0.0


# 4
# PmPaSi4

A relaxed structure of PmPaSi4 (PBE, the Alexandria database).

Cell and atoms, written as CIF:
```
data_PmPaSi4
_cell_length_a 3.966
_cell_length_b 5.769
_cell_length_c 5.769
_cell_angle_alpha 78.40
_cell_angle_beta 69.91
_cell_angle_gamma 69.91
_symmetry_space_group_name_H-M 'P 1'
_symmetry_Int_Tables_number 1
_symmetry_space_group_name_Hall 'P 1'
loop_
_atom_site_label
_atom_site_type_symbol
_atom_site_fract_x
_atom_site_fract_y
_atom_site_fract_z
Pm1 Pm 0.500 0.500 0.500
Pa1 Pa 0.000 0.000 0.000
Si1 Si 0.745 0.591 0.919
Si2 Si 0.745 0.919 0.591
Si3 Si 0.255 0.409 0.081
Si4 Si 0.255 0.081 0.409
```

Values from the calculation:
Calculated volume in Å³/f.u.: 116
Relative energy among the computed polymorphs in meV/atom: 0
DOS at the Fermi energy in states/eV/f.u.: 4.30
Space-group type: Immm, No. 71
Energy relative to the elements, uncorrected in eV per atom: -0.55
Magnetic moment in μB per cell: 0.0


Number 1 is which compound?
AgINF2


Repeat the first record exactly.
# AgINF2

A relaxed structure of AgINF2 (PBE, the Alexandria database).

Cell and atoms, written as CIF:
```
data_AgINF2
_cell_length_a 4.105
_cell_length_b 4.105
_cell_length_c 4.819
_cell_angle_alpha 90.00
_cell_angle_beta 90.00
_cell_angle_gamma 90.00
_symmetry_space_group_name_H-M 'P 1'
_symmetry_Int_Tables_number 1
_symmetry_space_group_name_Hall 'P 1'
loop_
_atom_site_label
_atom_site_type_symbol
_atom_site_fract_x
_atom_site_fract_y
_atom_site_fract_z
I1 I 0.500 0.500 0.500
N1 N 0.000 0.000 0.500
Ag1 Ag 0.000 0.000 0.000
F1 F 0.000 0.500 0.000
F2 F 0.500 0.000 0.000
```

Values from the calculation:
Calculated volume in Å³/f.u.: 81
Relative energy among the computed polymorphs in meV/atom: 126
DOS at the Fermi energy in states/eV/f.u.: 3.19
Space-group type: P4/mmm, No. 123
Energy relative to the elements, uncorrected in eV per atom: 0.36
Magnetic moment in μB per cell: 0.4


What did the second record say?
# KGa2CoPb

A relaxed structure of KGa2CoPb (PBE, the Alexandria database).

Cell and atoms, written as CIF:
```
data_KGa2CoPb
_cell_length_a 4.754
_cell_length_b 4.754
_cell_length_c 5.179
_cell_angle_alpha 90.00
_cell_angle_beta 90.00
_cell_angle_gamma 90.00
_symmetry_space_group_name_H-M 'P 1'
_symmetry_Int_Tables_number 1
_symmetry_space_group_name_Hall 'P 1'
loop_
_atom_site_label
_atom_site_type_symbol
_atom_site_fract_x
_atom_site_fract_y
_atom_site_fract_z
Pb1 Pb 0.000 0.000 0.500
K1 K 0.500 0.500 0.500
Co1 Co 0.000 0.000 0.000
Ga1 Ga 0.000 0.500 0.000
Ga2 Ga 0.500 0.000 0.000
```

Values from the calculation:
Calculated volume in Å³/f.u.: 117
Relative energy among the computed polymorphs in meV/atom: 0
DOS at the Fermi energy in states/eV/f.u.: 3.99
Space-group type: P4/mmm, No. 123
Energy relative to the elements in meV/atom: 6
Magnetic moment in μB per cell: 0.4